Computed, not measured: ZrMnFe2 after structural relaxation at the PBE-GGA level of DFT.

Values from the calculation:
The energy of formation comes out at 3.3 kcal/mol of atoms. Its crystal system is monoclinic. The total energy is -8.52 eV/atom. The calculated volume is 14.5 Å³/atom.

a b c (Å): 3.9613 2.8351 5.3679
angles (deg): 74.24 90.00 90.00
Site moments in Bohr magnetons follow the coordinates.
Sites, in units of the cell vectors:
Fe 0.0000 0.0433 0.0362  2.22
Fe 0.5000 0.2333 0.2451  2.10
Mn 0.0000 0.4641 0.4651  2.71
Zr 0.5000 0.7592 0.7537  -0.48

---

Computed, not measured: Fe2AsOs after structural relaxation at the PBE-GGA level of DFT.

Values from the calculation:
The energy of formation comes out at 6.5 kcal/mol of atoms. Its crystal system is trigonal. The total energy is -7.92 eV/atom. The calculated volume is 13.6 Å³/atom.

a b c (Å): 8.1053 8.1053 8.1053
angles (deg): 19.98 19.98 19.98
Site moments in Bohr magnetons follow the coordinates.
Sites, in units of the cell vectors:
As 0.7464 0.7464 0.7464  -0.04
Fe 0.9982 0.9982 0.9982  2.33
Fe 0.2536 0.2536 0.2536  2.53
Os 0.5019 0.5019 0.5019  -0.05

---

Computed, not measured: NdScTlGa after structural relaxation at the PBE-GGA level of DFT.

Values from the calculation:
The energy of formation comes out at -9.0 kcal/mol of atoms. Its crystal system is cubic. The total energy is -4.52 eV/atom. The calculated volume is 24.6 Å³/atom.

a b c (Å): 5.1806 5.1806 5.1806
angles (deg): 60.00 60.00 60.00
Sites, in units of the cell vectors:
Sc 0.5000 0.5000 0.5000
Tl 0.7500 0.7500 0.7500
Nd 0.0000 0.0000 0.0000
Ga 0.2500 0.2500 0.2500

---

Computed, not measured: Ta2Ti5Al2 after structural relaxation at the PBE-GGA level of DFT.

Values from the calculation:
The energy of formation comes out at -3.7 kcal/mol of atoms. Its crystal system is monoclinic. The total energy is -8.01 eV/atom. The calculated volume is 17.0 Å³/atom.

a b c (Å): 3.7264 9.7991 5.1428
angles (deg): 65.43 68.77 67.65
Sites, in units of the cell vectors:
Ta 0.7808 0.8848 0.6688
Ta 0.2192 0.1152 0.3312
Ti 0.5597 0.7746 0.3313
Ti 0.4403 0.2254 0.6687
Ti 0.1116 0.5568 0.6630
Ti 0.8884 0.4432 0.3370
Ti 0.0000 0.0000 0.0000
Al 0.3346 0.6630 0.0050
Al 0.6654 0.3370 0.9950

---

Computed, not measured: TiCu8Pd6 after structural relaxation at the PBE-GGA level of DFT.

Values from the calculation:
The energy of formation comes out at -0.7 kcal/mol of atoms. Its crystal system is trigonal. The total energy is -4.82 eV/atom. The calculated volume is 14.7 Å³/atom.

a b c (Å): 6.9886 6.9886 6.5786
angles (deg): 57.92 57.92 60.00
Sites, in units of the cell vectors:
Ti 0.0000 0.0000 0.0000
Cu 0.5568 0.1736 0.3936
Cu 0.8264 0.1240 0.6064
Cu 0.1240 0.4432 0.6064
Cu 0.7573 0.7573 0.7282
Cu 0.2427 0.2427 0.2718
Cu 0.8760 0.5568 0.3936
Cu 0.1736 0.8760 0.3936
Cu 0.4432 0.8264 0.6064
Pd 0.3585 0.1151 0.8736
Pd 0.8849 0.3472 0.1264
Pd 0.3472 0.6415 0.1264
Pd 0.6528 0.3585 0.8736
Pd 0.1151 0.6528 0.8736
Pd 0.6415 0.8849 0.1264

---

Computed, not measured: ScIn3Sn after structural relaxation at the PBE-GGA level of DFT.

Values from the calculation:
The energy of formation comes out at 11.0 kcal/mol of atoms. Its crystal system is cubic. The total energy is -3.23 eV/atom. The calculated volume is 34.1 Å³/atom.

a b c (Å): 5.5433 5.5433 5.5433
angles (deg): 90.00 90.00 90.00
Site moments in Bohr magnetons follow the coordinates.
Sites, in units of the cell vectors:
Sc 0.0000 0.0000 0.0000  0.15
Sn 0.5000 0.5000 0.5000  -0.02
In 0.0000 0.5000 0.0000  0.03
In 0.0000 0.0000 0.5000  0.01
In 0.5000 0.0000 0.0000  0.02

---

Computed, not measured: U3Tl3TcSe8 after structural relaxation at the PBE-GGA level of DFT.

Values from the calculation:
Its crystal system is trigonal. The total energy is -6.05 eV/atom. For the raw formation energy, the calculation gives -0.77 eV/atom. The calculated volume is 28.7 Å³/atom.

a b c (Å): 7.7431 7.7427 9.4117
angles (deg): 114.30 90.00 120.00
Site moments in Bohr magnetons follow the coordinates.
Sites, in units of the cell vectors:
U 0.5000 0.0000 0.5000  2.20
U 0.5000 0.5000 0.5000  2.20
U 0.0000 0.5000 0.5000  2.20
Tl 0.0000 0.0000 0.0000  -0.01
Tl 0.0000 0.5000 0.0000  -0.01
Tl 0.5000 0.5000 0.0000  -0.01
Tc 0.0000 0.0000 0.5000  -0.73
Se 0.2619 0.5238 0.2859  -0.06
Se 0.7381 0.4762 0.7141  -0.06
Se 0.7794 0.5588 0.3034  -0.06
Se 0.2206 0.4412 0.6966  -0.06
Se 0.7795 0.0238 0.3033  -0.06
Se 0.2205 0.9762 0.6967  -0.06
Se 0.2443 0.0238 0.3033  -0.06
Se 0.7557 0.9762 0.6967  -0.06

---

Computed, not measured: Li5Pd3Cl12 after structural relaxation at the PBE-GGA level of DFT.

Values from the calculation:
Its crystal system is cubic. The total energy is -3.22 eV/atom. For the raw formation energy, the calculation gives -0.85 eV/atom. The calculated volume is 23.4 Å³/atom.

a b c (Å): 13.4451 13.4451 13.4451
angles (deg): 109.47 109.47 109.47
Sites, in units of the cell vectors:
Pd 0.7500 0.3750 0.1250
Pd 0.8750 0.7500 0.1250
Pd 0.3750 0.7500 0.6250
Pd 0.2500 0.1250 0.3750
Pd 0.8750 0.1250 0.2500
Pd 0.3750 0.6250 0.2500
Pd 0.6250 0.3750 0.7500
Pd 0.1250 0.8750 0.7500
Pd 0.7500 0.8750 0.6250
Pd 0.6250 0.2500 0.3750
Pd 0.1250 0.2500 0.8750
Pd 0.2500 0.6250 0.8750
Li 0.1250 0.3750 0.2500
Li 0.0000 0.5000 0.0000
Li 0.0000 0.0000 0.0000
Li 0.3750 0.2500 0.1250
Li 0.5000 0.0000 0.5000
Li 0.5000 0.5000 0.0000
Li 0.1250 0.7500 0.3750
Li 0.7500 0.1250 0.8750
Li 0.7500 0.6250 0.3750
Li 0.3750 0.1250 0.7500
Li 0.6250 0.8750 0.2500
Li 0.5000 0.5000 0.5000
Li 0.5000 0.0000 0.0000
Li 0.0000 0.0000 0.5000
Li 0.2500 0.3750 0.6250
Li 0.2500 0.8750 0.1250
Li 0.0000 0.5000 0.5000
Li 0.8750 0.2500 0.6250
Li 0.6250 0.7500 0.8750
Li 0.8750 0.6250 0.7500
Cl 0.6995 0.1634 0.0380
Cl 0.3385 0.5380 0.3746
Cl 0.9620 0.3366 0.3005
Cl 0.5380 0.1995 0.1634
Cl 0.5361 0.6995 0.6615
Cl 0.9620 0.6254 0.1615
Cl 0.3385 0.8005 0.4639
Cl 0.1254 0.9639 0.1634
Cl 0.6254 0.9620 0.6615
Cl 0.6995 0.5361 0.1615
Cl 0.8005 0.4620 0.3366
Cl 0.8385 0.8746 0.0380
Cl 0.1634 0.6995 0.5380
Cl 0.3366 0.3746 0.0361
Cl 0.0361 0.8746 0.3366
Cl 0.4639 0.1634 0.6254
Cl 0.0361 0.1615 0.1995
Cl 0.4620 0.6615 0.1254
Cl 0.8385 0.9639 0.3005
Cl 0.1634 0.4639 0.1254
Cl 0.3366 0.9620 0.8005
Cl 0.6254 0.6634 0.4639
Cl 0.8746 0.8385 0.5380
Cl 0.8005 0.3385 0.9639
Cl 0.3746 0.3366 0.5361
Cl 0.1254 0.1615 0.4620
Cl 0.1995 0.6615 0.0361
Cl 0.1615 0.0361 0.6995
Cl 0.6634 0.0380 0.1995
Cl 0.8366 0.5361 0.8746
Cl 0.5380 0.3385 0.8746
Cl 0.5361 0.8366 0.3746
Cl 0.9639 0.8385 0.8005
Cl 0.9639 0.1254 0.6634
Cl 0.8366 0.3005 0.4620
Cl 0.1615 0.1254 0.9620
Cl 0.6634 0.6254 0.9639
Cl 0.3746 0.0380 0.3385
Cl 0.3005 0.4639 0.8385
Cl 0.1995 0.5380 0.6634
Cl 0.8746 0.0361 0.8366
Cl 0.6615 0.1995 0.5361
Cl 0.4620 0.8005 0.8366
Cl 0.0380 0.3746 0.8385
Cl 0.4639 0.3005 0.3385
Cl 0.0380 0.6634 0.6995
Cl 0.6615 0.4620 0.6254
Cl 0.3005 0.8366 0.9620

---

Computed, not measured: Pm2Sm2Er5 after structural relaxation at the PBE-GGA level of DFT.

Values from the calculation:
The energy of formation comes out at 1.9 kcal/mol of atoms. Its crystal system is monoclinic. The total energy is -4.56 eV/atom. The calculated volume is 32.8 Å³/atom.

a b c (Å): 3.6175 14.8376 6.6219
angles (deg): 60.69 74.14 75.86
Sites, in units of the cell vectors:
Pm 0.7775 0.8707 0.7041
Pm 0.2225 0.1293 0.2959
Sm 0.2833 0.6053 0.2236
Sm 0.7167 0.3947 0.7764
Er 0.5491 0.7898 0.3220
Er 0.4509 0.2102 0.6780
Er 0.0056 0.6120 0.7632
Er 0.9944 0.3880 0.2368
Er 0.0000 0.0000 0.0000

---

Computed, not measured: CaNbSCl2 after structural relaxation at the PBE-GGA level of DFT.

Values from the calculation:
Its crystal system is tetragonal. The total energy is -3.48 eV/atom. For the raw formation energy, the calculation gives 0.49 eV/atom. The calculated volume is 30.2 Å³/atom.

a b c (Å): 5.4816 5.0254 5.4816
angles (deg): 90.00 90.00 90.00
Site moments in Bohr magnetons follow the coordinates.
Sites, in units of the cell vectors:
S 0.0000 0.0000 0.0000  0.04
Nb 0.5000 0.5000 0.5000  3.15
Ca 0.0000 0.5000 0.0000  0.06
Cl 0.0000 0.0000 0.5000  0.01
Cl 0.5000 0.0000 0.0000  0.03

---

Computed, not measured: LaPmAl2Ge after structural relaxation at the PBE-GGA level of DFT.

Values from the calculation:
The energy of formation comes out at -11.1 kcal/mol of atoms. Its crystal system is orthorhombic. The total energy is -4.84 eV/atom. The calculated volume is 25.5 Å³/atom.

a b c (Å): 4.4213 4.5673 7.0745
angles (deg): 108.83 108.21 90.00
Sites, in units of the cell vectors:
La 0.4421 0.4421 0.8842
Pm 0.1998 0.6998 0.3996
Al 0.6743 0.1743 0.3486
Al 0.0467 0.0467 0.0933
Ge 0.8493 0.8493 0.6986

---

Computed, not measured: KCa2Ir after structural relaxation at the PBE-GGA level of DFT.

Values from the calculation:
The energy of formation comes out at 7.4 kcal/mol of atoms. Its crystal system is tetragonal. The total energy is -3.17 eV/atom. The calculated volume is 27.3 Å³/atom.

a b c (Å): 5.0028 5.0028 4.3668
angles (deg): 90.00 90.00 90.00
Sites, in units of the cell vectors:
Ca 0.0000 0.0000 0.0000
Ca 0.5000 0.5000 0.0000
Ir 0.5000 0.0000 0.5000
K 0.0000 0.5000 0.5000